The following is a DFT calculation (GGA-PBEsol) of an optimized crystal structure of YMnCl2.

a = 3.248 Å, b = 3.248 Å, c = 9.396 Å
α = 90.00°, β = 90.00°, γ = 90.00°
Positions (direct):
Y  0.000  0.000  0.000
Mn  0.000  0.000  0.500
Cl  0.500  0.500  0.167
Cl  0.500  0.500  0.833

E_form (uncorrected) = -669.9 meV per atom
ΔE to the lowest computed polymorph = 109 meV per atom
Space-group type = P4/mmm (123)
VASP energy = -5.82 eV/atom
Crystal system = tetragonal
V = 99 Å³ per cell
Magnetization = 4.8 Bohr magnetons per cell